Material: CaNiHgO2
Method: DFT, PBE with a Hubbard U
State: optimized geometry

electronic total energy: -3.052 eV per atom
space-group type: P4/mmm (123)
Fermi-level density of states: 1.8 states/eV/cell
volume: 106.7 Å³ per cell

The structure in POSCAR format:
```
CaNiHgO2
1.0
-4.239 0.777 -0.135
-0.016 -1.064 -5.640
-0.789 -4.165 0.788
O Ni Ca Hg
2 1 1 1
Direct
0.000 0.000 0.500
0.500 0.000 0.000
0.000 0.500 0.000
0.000 0.000 0.000
0.500 0.500 0.500
```